# HgBAu3 PBE optimized geometry
data_HgBAu3
_space_group_name_H-M_alt 'P m -3 m'
_space_group_IT_number 221
_space_group_name_Hall '-P 4 2 3'
_cell_length_a 5.249
_cell_length_b 5.249
_cell_length_c 5.249
_cell_angle_alpha 90.00
_cell_angle_beta 90.00
_cell_angle_gamma 90.00
loop_
_atom_site_label
_atom_site_fract_x
_atom_site_fract_y
_atom_site_fract_z
_atom_site_occupancy
Hg1 0.000 0.000 0.000 1
B1 0.500 0.500 0.500 1
Au1 0.000 0.000 0.500 1
# - ΔH_f (0 K): 1.608 eV per atom
# - Spin magnetization: 0.000 μB per atom
# - VASP energy: -1.754 eV/atom
# - Crystal system: cubic

=====

# Ac2Zn6Ni3 PBE optimized geometry
data_Ac2Zn6Ni3
_space_group_name_H-M_alt 'P -6 2 m'
_space_group_IT_number 189
_space_group_name_Hall 'P -6 -2'
_cell_length_a 7.7070
_cell_length_b 7.7070
_cell_length_c 4.0481
_cell_angle_alpha 90.00
_cell_angle_beta 90.00
_cell_angle_gamma 120.00
loop_
_atom_site_label
_atom_site_fract_x
_atom_site_fract_y
_atom_site_fract_z
_atom_site_occupancy
Ac1 0.3333 0.6667 0.0000 1
Zn1 0.0000 0.1932 0.0000 1
Zn2 0.0000 0.7189 0.5000 1
Ni1 0.0000 0.3822 0.5000 1
# - ΔH_f (0 K): -0.250 eV per atom
# - Spin magnetization: 0.000 μB per atom
# - VASP energy: -3.269 eV/atom
# - Crystal system: hexagonal